# 1
The following is a DFT calculation (meta-GGA SCAN) of a crystal of FeHCl3 relaxed with PBEsol.

Structure (CIF):
```
data_FeHCl3
_cell_length_a 4.257
_cell_length_b 4.257
_cell_length_c 4.257
_cell_angle_alpha 90.00
_cell_angle_beta 90.00
_cell_angle_gamma 90.00
_space_group_name_H-M_alt 'P m -3 m'
_space_group_IT_number 221
_space_group_name_Hall '-P 4 2 3'
loop_
_atom_site_label
_atom_site_type_symbol
_atom_site_fract_x
_atom_site_fract_y
_atom_site_fract_z
_atom_site_occupancy
Fe1 Fe 0.000 0.000 0.000 1
H1 H 0.500 0.500 0.500 1
Cl1 Cl 0.000 0.500 0.500 1
```

Properties
D(E_F), states/eV/cell: 4.3
E, eV/atom: -8.708

# 2
The following is a DFT calculation (meta-GGA SCAN) of a crystal of FeH2Cl2 relaxed with PBEsol.

Structure (CIF):
```
data_FeH2Cl2
_cell_length_a 4.388
_cell_length_b 4.388
_cell_length_c 6.226
_cell_angle_alpha 90.00
_cell_angle_beta 90.00
_cell_angle_gamma 90.00
_space_group_name_H-M_alt 'I 4/m m m'
_space_group_IT_number 139
_space_group_name_Hall '-I 4 2'
loop_
_atom_site_label
_atom_site_type_symbol
_atom_site_fract_x
_atom_site_fract_y
_atom_site_fract_z
_atom_site_occupancy
Fe1 Fe 0.000 0.000 0.000 1
H1 H 0.000 0.000 0.439 1
Cl1 Cl 0.000 0.500 0.250 1
```

Properties
E, eV/atom: -8.466

# 3
The following is a DFT calculation (meta-GGA SCAN) of a crystal of FeH10N2Cl5O relaxed with PBEsol.

Structure (CIF):
```
data_FeH10N2Cl5O
_cell_length_a 13.263
_cell_length_b 9.873
_cell_length_c 6.919
_cell_angle_alpha 90.00
_cell_angle_beta 90.00
_cell_angle_gamma 90.00
_space_group_name_H-M_alt 'P n m a'
_space_group_IT_number 62
_space_group_name_Hall '-P 2ac 2n'
loop_
_atom_site_label
_atom_site_type_symbol
_atom_site_fract_x
_atom_site_fract_y
_atom_site_fract_z
_atom_site_occupancy
Fe1 Fe 0.134 0.250 0.153 1
H1 H 0.035 0.668 0.052 1
H2 H 0.100 0.092 0.593 1
H3 H 0.101 0.580 0.616 1
H4 H 0.127 0.019 0.810 1
H5 H 0.211 0.010 0.629 1
N1 N 0.135 0.010 0.661 1
Cl1 Cl 0.008 0.250 0.433 1
Cl2 Cl 0.115 0.009 0.141 1
Cl3 Cl 0.243 0.250 0.903 1
Cl4 Cl 0.245 0.750 0.881 1
O1 O 0.008 0.250 0.969 1
```

Properties
E, eV/atom: -6.994

# 4
The following is a DFT calculation (meta-GGA SCAN) of a crystal of FeH8Cl2O4 relaxed with PBEsol.

Structure (CIF):
```
data_FeH8Cl2O4
_cell_length_a 5.731
_cell_length_b 7.208
_cell_length_c 8.274
_cell_angle_alpha 90.00
_cell_angle_beta 111.02
_cell_angle_gamma 90.00
_space_group_name_H-M_alt 'P 1 21/c 1'
_space_group_IT_number 14
_space_group_name_Hall '-P 2ybc'
loop_
_atom_site_label
_atom_site_type_symbol
_atom_site_fract_x
_atom_site_fract_y
_atom_site_fract_z
_atom_site_occupancy
Fe1 Fe 0.000 0.000 0.000 1
H1 H 0.100 0.080 0.703 1
H2 H 0.109 0.077 0.349 1
H3 H 0.392 0.710 0.501 1
H4 H 0.396 0.701 0.693 1
Cl1 Cl 0.304 0.234 0.575 1
O1 O 0.004 0.502 0.751 1
O2 O 0.282 0.693 0.569 1
```

Properties
E, eV/atom: -6.840